Material: SmDy2Pt
Method: DFT, PBE
State: relaxed

abc: 3.819 3.819 9.774
angles: 78.74 78.74 60.00
Positions (direct):
Sm 0.500 0.500 0.500
Pt 0.000 0.000 0.000
Dy 0.272 0.272 0.183
Dy 0.728 0.728 0.817

Summary:
Space group: R-3m
Energy above the most stable polymorph in this dataset: 191 meV/atom

---

Material: Sm2DyPt3
Method: DFT, PBE
State: relaxed

abc: 4.135 5.823 7.130
angles: 114.10 106.86 90.00
Positions (direct):
Sm 0.668 0.168 0.335
Sm 0.332 0.832 0.665
Dy 0.000 0.500 0.000
Pt 0.338 0.338 0.675
Pt 0.000 0.000 0.000
Pt 0.662 0.662 0.325

Summary:
Space group: Immm

---

Material: SmDy2Pt
Method: DFT, PBE
State: relaxed

abc: 3.821 6.461 9.336
angles: 90.00 90.00 107.25
Positions (direct):
Sm 0.934 0.868 0.250
Sm 0.066 0.132 0.750
Dy 0.362 0.724 0.563
Dy 0.638 0.276 0.437
Dy 0.362 0.724 0.937
Dy 0.638 0.276 0.063
Pt 0.762 0.525 0.750
Pt 0.238 0.475 0.250

Summary:
Space group: Cmcm
Energy above the most stable polymorph in this dataset: 33 meV/atom

---

Material: Sm2DyPt
Method: DFT, PBE
State: relaxed

abc: 3.645 3.645 8.486
angles: 90.00 90.00 90.00
Positions (direct):
Sm 0.000 0.000 0.802
Sm 0.000 0.000 0.198
Pt 0.500 0.500 0.000
Dy 0.500 0.500 0.500

Summary:
Space group: P4/mmm
Energy above the most stable polymorph in this dataset: 162 meV/atom

---

no.,energy of formation from the pure elements (eV/atom),VASP energy (eV/atom)
1,-0.506,-5.4968
2,-1.093,-6.4534
3,-0.664,-5.6555
4,-0.508,-5.5286